(1)
PtPb2Au: optimized geometry, PBE.

Cell: 6.070 6.070 6.070 Å, 147.45 129.22 61.63°
Sites, in units of the cell vectors:
Pb 0.282 0.782 0.500
Pb 0.987 0.987 0.000
Pt 0.508 0.508 0.000
Au 0.722 0.222 0.500

- E above lowest polymorph: 103.0 meV/atom

---

(2)
PtPbAu3: optimized geometry, PBE.

Cell: 5.101 5.101 5.101 Å, 90.00 90.00 90.00°
Sites, in units of the cell vectors:
Au 0.500 0.000 0.000
Au 0.000 0.000 0.500
Au 0.000 0.500 0.000
Pt 0.000 0.000 0.000
Pb 0.500 0.500 0.500

- E above lowest polymorph: 0.0 meV/atom

---

(3)
Pt2Pb2Au: optimized geometry, PBE.

Cell: 3.861 3.861 8.320 Å, 76.58 76.58 90.00°
Sites, in units of the cell vectors:
Pt 0.250 0.750 0.500
Pt 0.750 0.250 0.500
Au 0.000 0.000 0.000
Pb 0.387 0.387 0.226
Pb 0.613 0.613 0.774

- E above lowest polymorph: 57.9 meV/atom

---

(4)
PtPb2Au: optimized geometry, PBE.

Cell: 4.114 4.114 7.312 Å, 73.66 73.66 60.00°
Sites, in units of the cell vectors:
Pt 0.665 0.665 0.006
Pb 0.077 0.077 0.770
Pb 0.258 0.258 0.225
Au 0.500 0.500 0.499

- E above lowest polymorph: 74.5 meV/atom

---

(5)
Pt2Pb7Au2: optimized geometry, PBE.

Cell: 6.786 6.745 6.745 Å, 83.96 90.00 90.00°
Sites, in units of the cell vectors:
Au 0.500 0.837 0.163
Au 0.500 0.163 0.837
Pt 0.000 0.277 0.277
Pt 0.000 0.723 0.723
Pb 0.742 0.500 0.000
Pb 0.739 0.500 0.500
Pb 0.742 0.000 0.500
Pb 0.258 0.500 0.000
Pb 0.258 0.000 0.500
Pb 0.261 0.500 0.500
Pb 0.000 0.000 0.000

- VASP energy: -45.11 eV/cell

---

(6)
Pt2Pb2Au: optimized geometry, PBE.

Cell: 8.076 8.076 3.352 Å, 90.00 90.00 90.00°
Sites, in units of the cell vectors:
Pt 0.625 0.875 0.500
Pt 0.875 0.375 0.500
Pt 0.125 0.625 0.500
Pt 0.375 0.125 0.500
Pb 0.669 0.169 0.000
Pb 0.169 0.331 0.000
Pb 0.831 0.669 0.000
Pb 0.331 0.831 0.000
Au 0.500 0.500 0.000
Au 0.000 0.000 0.000

- E above lowest polymorph: 231.9 meV/atom

---

(7)
Rb2PtPb4Au3: optimized geometry, PBE.

Cell: 5.110 5.110 11.543 Å, 90.00 90.00 90.00°
Sites, in units of the cell vectors:
Rb 0.500 0.000 0.262
Rb 0.000 0.500 0.738
Pb 0.000 0.500 0.392
Pb 0.500 0.500 0.000
Pb 0.000 0.000 0.000
Pb 0.500 0.000 0.608
Pt 0.500 0.500 0.500
Au 0.000 0.000 0.500
Au 0.000 0.500 0.131
Au 0.500 0.000 0.869

- VASP energy: -34.52 eV/cell

---

(8)
PtPbAuSe2: optimized geometry, PBE.

Cell: 5.056 5.113 5.056 Å, 90.00 90.00 90.00°
Sites, in units of the cell vectors:
Au 0.000 0.000 0.000
Se 0.000 0.000 0.500
Se 0.500 0.000 0.000
Pt 0.000 0.500 0.000
Pb 0.500 0.500 0.500

- VASP energy: -17.86 eV/cell

---

(9)
TaPt2PbAu: optimized geometry, PBE.

Cell: 4.879 5.522 4.879 Å, 90.00 90.00 90.00°
Sites, in units of the cell vectors:
Au 0.500 0.500 0.500
Pt 0.500 0.000 0.000
Pt 0.000 0.000 0.500
Pb 0.000 0.500 0.000
Ta 0.000 0.000 0.000

- VASP energy: -26.24 eV/cell

---

(10)
ThPtPbAu: optimized geometry, PBE.

Cell: 5.085 5.085 5.085 Å, 60.00 60.00 60.00°
Sites, in units of the cell vectors:
Pt 0.250 0.250 0.250
Pb 0.500 0.500 0.500
Th 0.000 0.000 0.000
Au 0.750 0.750 0.750

- VASP energy: -23.07 eV/cell

---

(11)
TlPt2PbAu: optimized geometry, PBE.

Cell: 5.147 5.095 5.147 Å, 90.00 90.00 90.00°
Sites, in units of the cell vectors:
Pt 0.000 0.000 0.500
Pt 0.500 0.000 0.000
Au 0.000 0.000 0.000
Tl 0.000 0.500 0.000
Pb 0.500 0.500 0.500

- VASP energy: -18.10 eV/cell

---

(12)
TlPtPbAu: optimized geometry, PBE.

Cell: 5.021 5.021 5.021 Å, 60.00 60.00 60.00°
Sites, in units of the cell vectors:
Pb 0.000 0.000 0.000
Pt 0.250 0.250 0.250
Tl 0.500 0.500 0.500
Au 0.750 0.750 0.750

- VASP energy: -15.15 eV/cell

---

Results for theoretical density: 14.50; 12.42; 14.20; 13.21; 12.09; 15.21; 9.84; 9.62; 12.32; 14.85; 12.29; 14.91 (in g/cm3, following the order of the records).